# 1
A plane-wave DFT calculation with GGA-PBE was carried out for crystalline Ac7Hg2Au2 at its relaxed geometry.

Values from the calculation:
The crystal system is orthorhombic.

abc: 8.6999 12.2207 7.9343
angles: 90.00 90.00 90.00
Closest atoms and distances in Å follow each position.
Space group Cmmm (No. 65)
Asymmetric unit:
1 Ac 0.0000 0.0000 0.0000 x2  2 Au 3.57
2 Ac 0.0000 0.5000 0.2567 x4  2 Au 3.25, 2 Hg 3.45
3 Ac 0.2500 0.2500 0.2692 x8  2 Au 3.09
4 Hg 0.1707 0.0000 0.5000 x4  1 Hg 2.97
5 Au 0.0000 0.2925 0.0000 x4  6 Ac 3.09-3.25

=====

# 2
A plane-wave DFT calculation with GGA-PBE was carried out for crystalline AcHg3Au at its relaxed geometry.

Values from the calculation:
The crystal system is monoclinic.

abc: 5.3710 6.9979 6.9664
angles: 90.00 90.05 90.00
Closest atoms and distances in Å follow each position.
Space group P2_1/m (No. 11)
Asymmetric unit:
1 Ac 0.2504 0.2500 0.2230 x2  2 Au 3.27, 8 Hg 3.40-3.58
2 Hg 0.2495 0.0467 0.7512 x4  2 Hg 2.85-2.98, 1 Au 2.91
3 Hg 0.2505 0.7500 0.4447 x2  1 Au 2.79, 2 Hg 2.98
4 Au 0.2498 0.7500 0.0442 x2  3 Hg 2.79-2.91

=====

# 3
A plane-wave DFT calculation with GGA-PBE was carried out for crystalline AcHg4Au at its relaxed geometry.

Values from the calculation:
As for the relative energy among the computed polymorphs: 0.168 eV/atom. The crystal system is cubic.

abc: 8.5940 8.5940 8.5940
angles: 90.00 90.00 90.00
Closest atoms and distances in Å follow each position.
Space group F-43m (No. 216)
Asymmetric unit:
1 Ac 0.0000 0.0000 0.0000 x4  12 Hg 3.57, 4 Au 3.72
2 Hg 0.1240 0.1240 0.6240 x16  6 Hg 3.02-3.06
3 Au 0.2500 0.2500 0.2500 x4  12 Hg 3.56, 4 Ac 3.72

=====

# 4
A plane-wave DFT calculation with GGA-PBE was carried out for crystalline AcHg3Au at its relaxed geometry.

Values from the calculation:
The crystal system is orthorhombic.

abc: 10.0308 5.3597 9.7175
angles: 90.00 90.00 90.00
Closest atoms and distances in Å follow each position.
Space group Pnma (No. 62)
Asymmetric unit:
1 Ac 0.2468 0.2500 0.0049 x4  3 Au 3.34-3.52, 8 Hg 3.39-3.60
2 Hg 0.0861 0.7500 0.8716 x4  2 Hg 2.88-3.08, 1 Au 2.91
3 Hg 0.0903 0.2500 0.6543 x4  2 Au 2.77-2.85, 1 Hg 3.00
4 Hg 0.1081 0.2500 0.3464 x4  3 Hg 2.88-3.08, 2 Au 3.20
5 Au 0.1257 0.7500 0.1679 x4  3 Hg 2.77-2.91

=====

# 5
A plane-wave DFT calculation with GGA-PBE was carried out for crystalline Ac2Hg3Au5 at its relaxed geometry.

Values from the calculation:
The crystal system is orthorhombic.

abc: 11.2585 14.2660 6.2711
angles: 90.00 90.00 90.00
Closest atoms and distances in Å follow each position.
Space group Ibam (No. 72)
Asymmetric unit:
1 Ac 0.2285 0.1279 0.0000 x8  7 Au 3.34-3.59, 3 Hg 3.52-3.61
2 Hg 0.0000 0.5000 0.2500 x4  6 Au 2.87-2.90, 2 Hg 3.14
3 Hg 0.0906 0.1517 0.5000 x8  5 Au 2.74-2.86
4 Au 0.0000 0.0000 0.2500 x4  4 Hg 2.86, 2 Au 3.14
5 Au 0.0000 0.2985 0.2500 x8  3 Hg 2.81-2.87, 4 Au 2.89-3.14
6 Au 0.1744 0.3985 0.0000 x8  3 Hg 2.74-2.90, 2 Au 2.89

=====

# 6
A plane-wave DFT calculation with GGA-PBE was carried out for crystalline Ac3HgAu at its relaxed geometry.

Values from the calculation:
As for the relative energy among the computed polymorphs: 0.000 eV/atom. The crystal system is orthorhombic.

abc: 5.6628 21.4823 5.6575
angles: 90.00 90.00 90.00
Closest atoms and distances in Å follow each position.
Space group Cmcm (No. 63)
Asymmetric unit:
1 Ac 0.0000 0.0672 0.2500 x4  2 Hg 3.41, 2 Au 3.45
2 Ac 0.0000 0.2488 0.2500 x4  4 Au 3.43-3.46, 4 Hg 3.46-3.49
3 Ac 0.0000 0.4298 0.2500 x4  2 Hg 3.38, 2 Au 3.41
4 Hg 0.0000 0.1560 0.7500 x4  8 Ac 3.38-3.49
5 Au 0.0000 0.3411 0.7500 x4  8 Ac 3.41-3.46

=====

Number 1: calculated total energy -38.987 eV per formula unit, theoretical density 9.4 g/cm³, energy relative to the elements -0.279 eV/atom. Number 2: calculated total energy -10.308 eV per formula unit, theoretical density 13.0 g/cm³, energy relative to the elements -0.403 eV/atom. Number 3: calculated total energy -9.602 eV per formula unit, theoretical density 12.8 g/cm³, energy relative to the elements -0.168 eV/atom. Number 4: calculated total energy -10.305 eV per formula unit, theoretical density 13.0 g/cm³, energy relative to the elements -0.403 eV/atom. Number 5: calculated total energy -29.875 eV per formula unit, theoretical density 13.5 g/cm³, energy relative to the elements -0.437 eV/atom. Number 6: calculated total energy -18.316 eV per formula unit, theoretical density 10.4 g/cm³, energy relative to the elements -0.482 eV/atom.